--- w ---
An optimized crystal structure of CaGdBi2, computed with PBE.

Lattice parameters (Å, degrees): 4.1733 4.1733 6.9993 90.00 90.00 90.00
Positions (direct):
Gd  0.5000  0.5000  0.0000
Bi  0.0000  0.0000  0.2410
Bi  0.0000  0.0000  0.7590
Ca  0.5000  0.5000  0.5000



--- x ---
An optimized crystal structure of CaGdBi2, computed with PBE.

Lattice parameters (Å, degrees): 4.1560 5.4394 5.4394 90.00 90.00 90.00
Positions (direct):
Bi  0.0000  0.0000  0.5000
Ca  0.5000  0.0000  0.0000
Gd  0.5000  0.5000  0.5000
Bi  0.0000  0.5000  0.0000



--- y ---
An optimized crystal structure of CaGdBi2, computed with PBE.

Lattice parameters (Å, degrees): 4.4777 4.4777 8.2054 74.17 74.17 60.00
Positions (direct):
Gd  0.0000  0.0000  0.0000
Bi  0.7472  0.7472  0.7585
Bi  0.2528  0.2528  0.2415
Ca  0.5000  0.5000  0.5000



--- z ---
An optimized crystal structure of CaGdBi2, computed with PBE.

Lattice parameters (Å, degrees): 5.5889 5.5889 5.5889 60.00 60.00 60.00
Positions (direct):
Gd  0.0000  0.0000  0.0000
Bi  0.2500  0.2500  0.2500
Bi  0.7500  0.7500  0.7500
Ca  0.5000  0.5000  0.5000



Name the most stable of them. y.



--- w ---
An optimized crystal structure of Ca2Ge2Bi, computed with PBE.

Lattice parameters (Å, degrees): 7.7295 7.7295 4.3899 90.00 90.00 90.00
Positions (direct):
Ge  0.1154  0.3846  0.0000
Ca  0.3229  0.1771  0.5000
Ca  0.6771  0.8229  0.5000
Bi  0.5000  0.5000  0.0000
Ge  0.8846  0.6154  0.0000
Ge  0.3846  0.8846  0.0000
Ca  0.8229  0.3229  0.5000
Bi  0.0000  0.0000  0.0000
Ge  0.6154  0.1154  0.0000
Ca  0.1771  0.6771  0.5000



--- x ---
An optimized crystal structure of Ca2Ge2Bi, computed with PBE.

Lattice parameters (Å, degrees): 8.7888 8.7888 3.4233 90.00 90.00 90.00
Positions (direct):
Ca  0.1286  0.3714  0.0000
Bi  0.0000  0.0000  0.0000
Ge  0.8222  0.3222  0.5000
Ge  0.1778  0.6778  0.5000
Ge  0.3222  0.1778  0.5000
Ca  0.8714  0.6286  0.0000
Ge  0.6778  0.8222  0.5000
Bi  0.5000  0.5000  0.0000
Ca  0.6286  0.1286  0.0000
Ca  0.3714  0.8714  0.0000



--- y ---
An optimized crystal structure of Ca2Ge2Bi, computed with PBE.

Lattice parameters (Å, degrees): 4.3701 4.0357 7.7980 105.00 90.00 90.00
Positions (direct):
Bi  0.0000  0.0000  0.0000
Ca  0.5000  0.6335  0.2671
Ca  0.5000  0.3665  0.7329
Ge  0.0000  0.1989  0.3978
Ge  0.0000  0.8011  0.6022



Name the most stable of them. w.



--- w ---
An optimized crystal structure of CaGe3Bi, computed with PBE.

Lattice parameters (Å, degrees): 5.5163 5.5163 5.5163 90.00 90.00 90.00
Positions (direct):
Bi  0.0000  0.0000  0.0000
Ge  0.0000  0.5000  0.0000
Ca  0.5000  0.5000  0.5000
Ge  0.5000  0.0000  0.0000
Ge  0.0000  0.0000  0.5000



--- x ---
An optimized crystal structure of CaGe3Bi, computed with PBE.

Lattice parameters (Å, degrees): 5.3609 5.3609 5.3609 90.00 90.00 90.00
Positions (direct):
Bi  0.5000  0.5000  0.5000
Ge  0.0000  0.0000  0.5000
Ca  0.0000  0.0000  0.0000
Ge  0.0000  0.5000  0.0000
Ge  0.5000  0.0000  0.0000



Name the most stable of them. w.



--- w ---
An optimized crystal structure of Ca2GeBi2, computed with PBE.

Lattice parameters (Å, degrees): 8.1453 8.1453 4.5926 90.00 90.00 90.00
Positions (direct):
Bi  0.6394  0.1394  0.0000
Bi  0.1394  0.3606  0.0000
Ca  0.1682  0.6682  0.5000
Ca  0.8318  0.3318  0.5000
Ge  0.0000  0.0000  0.0000
Ge  0.5000  0.5000  0.0000
Ca  0.3318  0.1682  0.5000
Bi  0.8606  0.6394  0.0000
Bi  0.3606  0.8606  0.0000
Ca  0.6682  0.8318  0.5000



--- x ---
An optimized crystal structure of Ca2GeBi2, computed with PBE.

Lattice parameters (Å, degrees): 8.7302 8.7302 4.0008 90.00 90.00 90.00
Positions (direct):
Ca  0.1365  0.3635  0.0000
Ge  0.5000  0.5000  0.0000
Bi  0.8283  0.3283  0.5000
Bi  0.3283  0.1717  0.5000
Bi  0.1717  0.6717  0.5000
Ca  0.3635  0.8635  0.0000
Bi  0.6717  0.8283  0.5000
Ca  0.8635  0.6365  0.0000
Ca  0.6365  0.1365  0.0000
Ge  0.0000  0.0000  0.0000



Name the most stable of them. w.



--- w ---
An optimized crystal structure of Ca2BiH2, computed with PBE.

Lattice parameters (Å, degrees): 3.7280 3.7280 7.2592 90.00 90.00 90.00
Positions (direct):
H  0.0000  0.5000  0.5000
Ca  0.5000  0.5000  0.2927
H  0.5000  0.0000  0.5000
Ca  0.5000  0.5000  0.7073
Bi  0.0000  0.0000  0.0000



--- x ---
An optimized crystal structure of Ca2BiH2, computed with PBE.

Lattice parameters (Å, degrees): 3.8508 3.8508 7.1910 74.47 74.47 90.00
Positions (direct):
H  0.2500  0.7500  0.5000
Ca  0.6565  0.6565  0.6869
H  0.7500  0.2500  0.5000
Bi  0.0000  0.0000  0.0000
Ca  0.3435  0.3435  0.3131



Name the most stable of them. x.



--- w ---
An optimized crystal structure of CaBiH3, computed with PBE.

Lattice parameters (Å, degrees): 4.1727 4.1727 4.1727 90.00 90.00 90.00
Positions (direct):
H  0.0000  0.0000  0.5000
H  0.5000  0.0000  0.0000
H  0.0000  0.5000  0.0000
Ca  0.0000  0.0000  0.0000
Bi  0.5000  0.5000  0.5000



--- x ---
An optimized crystal structure of CaBiH3, computed with PBE.

Lattice parameters (Å, degrees): 4.3917 4.3917 4.3917 90.00 90.00 90.00
Positions (direct):
H  0.5000  0.0000  0.0000
Bi  0.0000  0.0000  0.0000
H  0.0000  0.0000  0.5000
H  0.0000  0.5000  0.0000
Ca  0.5000  0.5000  0.5000



Name the most stable of them. w.



--- w ---
An optimized crystal structure of Ca3BiH2, computed with PBE.

Lattice parameters (Å, degrees): 3.9966 6.3567 12.2142 106.54 99.42 90.00
Positions (direct):
Ca  0.9588  0.1887  0.9176
H  0.0597  0.1989  0.1193
Bi  0.6491  0.8684  0.2982
Ca  0.0412  0.8113  0.0824
H  0.7078  0.4082  0.4157
Ca  0.6029  0.3345  0.2058
H  0.2922  0.5918  0.5843
Ca  0.3971  0.6655  0.7942
Ca  0.7694  0.7586  0.5388
H  0.9403  0.8011  0.8807
Bi  0.3509  0.1316  0.7018
Ca  0.2306  0.2414  0.4612



--- x ---
An optimized crystal structure of Ca3BiH2, computed with PBE.

Lattice parameters (Å, degrees): 5.3342 7.2049 7.2049 100.87 90.00 90.00
Positions (direct):
Ca  0.2500  0.4020  0.1803
Bi  0.7500  0.6855  0.3145
Ca  0.2500  0.8909  0.1091
Bi  0.2500  0.3145  0.6855
H  0.0000  0.8512  0.8512
Ca  0.7500  0.5980  0.8197
H  0.5000  0.8512  0.8512
Ca  0.7500  0.1803  0.4020
Ca  0.2500  0.8197  0.5980
Ca  0.7500  0.1091  0.8909
H  0.0000  0.1488  0.1488
H  0.5000  0.1488  0.1488



Name the most stable of them. x.



--- w ---
An optimized crystal structure of Ca3BiH, computed with PBE.

Lattice parameters (Å, degrees): 6.0986 6.0986 6.0986 90.00 90.00 90.00
Positions (direct):
Ca  0.0000  0.5000  0.0000
H  0.5000  0.5000  0.5000
Ca  0.5000  0.0000  0.0000
Ca  0.0000  0.0000  0.5000
Bi  0.0000  0.0000  0.0000



--- x ---
An optimized crystal structure of Ca3BiH, computed with PBE.

Lattice parameters (Å, degrees): 5.0491 5.0491 5.0491 90.00 90.00 90.00
Positions (direct):
Ca  0.5000  0.0000  0.0000
Ca  0.0000  0.0000  0.5000
H  0.0000  0.0000  0.0000
Ca  0.0000  0.5000  0.0000
Bi  0.5000  0.5000  0.5000



--- y ---
An optimized crystal structure of Ca3BiH, computed with PBE.

Lattice parameters (Å, degrees): 8.8162 10.9945 6.7832 90.00 90.00 113.64
Positions (direct):
H  0.6722  0.8444  0.7499
Ca  0.1301  0.2602  0.2500
Ca  0.7500  0.0000  0.5000
Ca  0.7500  0.0000  0.0000
Ca  0.3699  0.7398  0.7500
Ca  0.5531  0.6062  0.2500
Bi  0.9198  0.8395  0.2500
Ca  0.9469  0.3938  0.7500
Ca  0.4469  0.3938  0.7500
Bi  0.5802  0.1605  0.7500
Bi  0.0802  0.1605  0.7500
Ca  0.6301  0.2602  0.2500
Bi  0.4198  0.8395  0.2500
Ca  0.2500  0.0000  0.5000
Ca  0.8699  0.7398  0.7500
H  0.8278  0.1556  0.2499
Ca  0.2500  0.0000  0.0000
H  0.1722  0.8444  0.7501
Ca  0.0531  0.6062  0.2500
H  0.3278  0.1556  0.2501



Name the most stable of them. y.